[1]
First-principles (PBE) data for crystalline Na3Ho3ErSe8 at its relaxed geometry, as listed in Alexandria.

Properties
Its raw total energy is -223.5 eV for the cell shown. The value obtained for the magnetic moment is 0.0000 μB per atom.

Cell lengths 8.1968, 8.1968, 21.1771 Å; angles 90.00, 90.00, 120.00 degrees
Space group R-3m (No. 166, hexagonal axes)
Unique sites:
Na: 0.0000 0.5000 0.0000 x9
Ho: 0.0000 0.5000 0.5000 x9
Er: 0.0000 0.0000 0.5000 x3
Se: 0.0000 0.0000 0.2432 x6
Se: 0.0001 0.5001 0.2420 x18



[2]
First-principles (PBE) data for crystalline Na3HoEr3Se8 at its relaxed geometry, as listed in Alexandria.

Properties
Its raw total energy is -148.9 eV for the cell shown. The value obtained for the magnetic moment is 0.0000 μB per atom.

Cell lengths 14.1602, 8.1693, 8.4955 Å; angles 90.00, 123.81, 90.00 degrees
Space group C2/m (No. 12)
Unique sites:
Na: 0.0000 0.0000 0.0000 x2
Na: 0.2500 0.2500 0.0000 x4
Ho: 0.0000 0.0000 0.5000 x2
Er: 0.0000 0.5000 0.5000 x2
Er: 0.2500 0.2500 0.5000 x4
Se: 0.0083 0.2513 0.2739 x8
Se: 0.2430 0.0000 0.7262 x4
Se: 0.2430 0.5000 0.7287 x4



[3]
First-principles (PBE) data for crystalline NaHo2ErSe4 at its relaxed geometry, as listed in Alexandria.

Properties
Its raw total energy is -42.6 eV for the cell shown. The value obtained for the magnetic moment is 0.0000 μB per atom.

Cell lengths 7.0799, 4.0456, 7.0802 Å; angles 90.00, 108.94, 90.00 degrees
Space group P2/m (No. 10)
Unique sites:
Na: 0.0000 0.0000 0.0000 x1
Ho: 0.5000 0.0000 0.5000 x1
Ho: 0.5000 0.5000 0.0000 x1
Er: 0.0000 0.5000 0.5000 x1
Se: 0.2489 0.0000 0.7488 x2
Se: 0.2535 0.5000 0.2547 x2



[4]
First-principles (PBE) data for crystalline NaHo2Er3Se6 at its relaxed geometry, as listed in Alexandria.

Properties
Its raw total energy is -131.2 eV for the cell shown. The value obtained for the magnetic moment is 0.0000 μB per atom.

Cell lengths 17.7391, 4.0444, 8.1683 Å; angles 90.00, 103.43, 90.00 degrees
Space group C2/m (No. 12)
Unique sites:
Na: 0.0000 0.0000 0.0000 x2
Ho: 0.1697 0.5000 0.3431 x4
Er: 0.0000 0.0000 0.5000 x2
Er: 0.1645 0.5000 0.8255 x4
Se: 0.0016 0.5000 0.2544 x4
Se: 0.1645 0.0000 0.5851 x4
Se: 0.1688 0.0000 0.0825 x4



[5]
First-principles (PBE) data for crystalline Na4Ho3ErSe8 at its relaxed geometry, as listed in Alexandria.

Properties
Its raw total energy is -236.2 eV for the cell shown. The value obtained for the magnetic moment is 0.0000 μB per atom.

Cell lengths 8.2494, 8.2494, 21.0163 Å; angles 90.00, 90.00, 120.00 degrees
Space group R-3m (No. 166, hexagonal axes)
Unique sites:
Na: 0.0000 0.0000 0.0000 x3
Na: 0.0000 0.5000 0.0000 x9
Ho: 0.0000 0.5000 0.5000 x9
Er: 0.0000 0.0000 0.5000 x3
Se: 0.0000 0.0000 0.2429 x6
Se: 0.0010 0.5005 0.2427 x18



[6]
First-principles (PBE) data for crystalline Na3Ho2ErTe6 at its relaxed geometry, as listed in Alexandria.

Properties
Its raw total energy is -104.4 eV for the cell shown. The value obtained for the magnetic moment is 0.0000 μB per atom.

Cell lengths 7.6335, 13.2210, 7.9824 Å; angles 90.00, 108.58, 90.00 degrees
Space group C2/m (No. 12)
Unique sites:
Na: 0.0000 0.0000 0.0000 x2
Na: 0.0000 0.3327 0.0000 x4
Ho: 0.0000 0.1665 0.5000 x4
Er: 0.0000 0.5000 0.5000 x2
Te: 0.2430 0.3338 0.7306 x8
Te: 0.2446 0.0000 0.7308 x4



[7]
First-principles (PBE) data for crystalline NaHoEr2Te4 at its relaxed geometry, as listed in Alexandria.

Properties
Its raw total energy is -37.7 eV for the cell shown. The value obtained for the magnetic moment is 0.0001 μB per atom.

Cell lengths 7.5828, 4.3204, 7.5839 Å; angles 90.00, 108.84, 90.00 degrees
Space group P2/m (No. 10)
Unique sites:
Na: 0.0000 0.0000 0.0000 x1
Ho: 0.0000 0.5000 0.5000 x1
Er: 0.5000 0.0000 0.5000 x1
Er: 0.5000 0.5000 0.0000 x1
Te: 0.2517 0.0000 0.7502 x2
Te: 0.2548 0.5000 0.2538 x2



[8]
First-principles (PBE) data for crystalline Na2Ho3ErTe6 at its relaxed geometry, as listed in Alexandria.

Properties
Its raw total energy is -110.4 eV for the cell shown. The value obtained for the magnetic moment is 0.0000 μB per atom.

Cell lengths 7.5667, 13.0912, 7.6718 Å; angles 90.00, 109.11, 90.00 degrees
Space group C2/m (No. 12)
Unique sites:
Na: 0.0000 0.1655 0.0000 x4
Ho: 0.0000 0.0000 0.5000 x2
Ho: 0.0000 0.3304 0.5000 x4
Er: 0.0000 0.5000 0.0000 x2
Te: 0.2420 0.5000 0.7435 x4
Te: 0.2483 0.3357 0.2524 x8



[9]
First-principles (PBE) data for crystalline Nd5Ho12Er2 at its relaxed geometry, as listed in Alexandria.

Properties
The formation energy from the elements is 0.40 eV/f.u. The energy relative to the lowest polymorph listed for this composition is 0.0 meV/atom. The value obtained for the magnetic moment is 0.0000 μB per atom.

Cell lengths 6.1683, 9.4331, 10.6923 Å; angles 101.03, 95.59, 90.04 degrees
Space group P-1 (No. 2)
Unique sites:
Nd: 0.0000 0.0000 0.0000 x1
Nd: 0.1581 0.6314 0.9463 x2
Nd: 0.2634 0.0529 0.5789 x2
Ho: 0.0541 0.2126 0.3171 x2
Ho: 0.1045 0.4217 0.6304 x2
Ho: 0.2108 0.8404 0.2634 x2
Ho: 0.3174 0.2632 0.8949 x2
Ho: 0.3694 0.4732 0.2126 x2
Ho: 0.4743 0.8939 0.8412 x2
Er: 0.4199 0.6816 0.5263 x2



[10]
First-principles (PBE) data for crystalline Nd2Ho6Er3 at its relaxed geometry, as listed in Alexandria.

Properties
The formation energy from the elements is 3.03 eV/f.u. The energy relative to the lowest polymorph listed for this composition is 91.4 meV/atom. The value obtained for the magnetic moment is 0.0000 μB per atom.

Cell lengths 4.7155, 4.7155, 33.1002 Å; angles 90.00, 90.00, 90.00 degrees
Space group I4/mmm (No. 139)
Unique sites:
Nd: 0.0000 0.0000 0.0463 x4
Ho: 0.0000 0.0000 0.1961 x4
Ho: 0.0000 0.5000 0.1225 x8
Er: 0.0000 0.0000 0.2990 x4
Er: 0.0000 0.0000 0.5000 x2



[11]
First-principles (PBE) data for crystalline Nd2Ho5Er4 at its relaxed geometry, as listed in Alexandria.

Properties
The formation energy from the elements is 2.24 eV/f.u. The energy relative to the lowest polymorph listed for this composition is 182.4 meV/atom. The value obtained for the magnetic moment is 0.0002 μB per atom.

Cell lengths 3.4769, 8.9787, 23.1729 Å; angles 90.00, 90.00, 90.00 degrees
Space group Immm (No. 71)
Unique sites:
Nd: 0.0000 0.0000 0.2327 x4
Ho: 0.0000 0.1945 0.3592 x8
Ho: 0.0000 0.5000 0.0000 x2
Er: 0.0000 0.0000 0.0970 x4
Er: 0.0000 0.3115 0.5000 x4



[12]
First-principles (PBE) data for crystalline Nd4Ho11Er9 at its relaxed geometry, as listed in Alexandria.

Properties
The formation energy from the elements is 1.47 eV/f.u. The value obtained for the magnetic moment is 0.0010 μB per atom.

Cell lengths 16.6039, 24.9896, 3.6688 Å; angles 90.00, 90.00, 90.00 degrees
Space group Cmmm (No. 65)
Unique sites:
Nd: 0.1546 0.1004 0.0000 x8
Ho: 0.0000 0.1354 0.5000 x4
Ho: 0.0000 0.3405 0.5000 x4
Ho: 0.0000 0.5000 0.5000 x2
Ho: 0.2130 0.0000 0.5000 x4
Ho: 0.2253 0.3186 0.5000 x8
Er: 0.0000 0.0000 0.0000 x2
Er: 0.1017 0.2357 0.0000 x8
Er: 0.1384 0.4271 0.0000 x8



[13]
First-principles (PBE) data for crystalline Nd6Ho8Er at its relaxed geometry, as listed in Alexandria.

Properties
The formation energy from the elements is 3.55 eV/f.u. The energy relative to the lowest polymorph listed for this composition is 117.2 meV/atom. The value obtained for the magnetic moment is 0.0000 μB per atom.

Cell lengths 9.4830, 9.4830, 6.5438 Å; angles 90.00, 90.00, 120.00 degrees
Space group P-3 (No. 147)
Unique sites:
Nd: 0.0797 0.4055 0.3911 x6
Ho: 0.0101 0.6962 0.1144 x6
Ho: 0.3333 0.6667 0.8642 x2
Er: 0.0000 0.0000 0.5000 x1



[14]
First-principles (PBE) data for crystalline Nd4HoEr4 at its relaxed geometry, as listed in Alexandria.

Properties
The formation energy from the elements is 0.18 eV/f.u. The energy relative to the lowest polymorph listed for this composition is 0.0 meV/atom. The value obtained for the magnetic moment is 0.0001 μB per atom.

Cell lengths 10.7754, 10.7754, 5.0512 Å; angles 90.00, 90.00, 90.00 degrees
Space group I4/mmm (No. 139)
Unique sites:
Nd: 0.1666 0.1666 0.0000 x8
Ho: 0.0000 0.0000 0.5000 x2
Er: 0.0000 0.3354 0.5000 x8



[15]
First-principles (PBE) data for crystalline NdHo2Er at its relaxed geometry, as listed in Alexandria.

Properties
The formation energy from the elements is 0.09 eV/f.u. The energy relative to the lowest polymorph listed for this composition is 21.2 meV/atom. The value obtained for the magnetic moment is 0.0000 μB per atom.

Cell lengths 5.0296, 5.0296, 5.0339 Å; angles 90.00, 90.00, 90.00 degrees
Space group P4/mmm (No. 123)
Unique sites:
Nd: 0.0000 0.0000 0.0000 x1
Ho: 0.0000 0.5000 0.5000 x2
Er: 0.5000 0.5000 0.0000 x1



[16]
First-principles (PBE) data for crystalline Nd3HoEr4 at its relaxed geometry, as listed in Alexandria.

Properties
The formation energy from the elements is 0.17 eV/f.u. The energy relative to the lowest polymorph listed for this composition is 0.0 meV/atom. The value obtained for the magnetic moment is 0.0002 μB per atom.

Cell lengths 11.4081, 7.2983, 6.2831 Å; angles 90.00, 90.00, 90.00 degrees
Space group Pmn2_1 (No. 31)
Unique sites:
Nd: 0.0000 0.1277 0.0000 x2
Nd: 0.2500 0.1270 0.3354 x4
Ho: 0.0000 0.8694 0.4989 x2
Er: 0.0000 0.3783 0.5008 x2
Er: 0.0000 0.6207 0.0013 x2
Er: 0.2481 0.6211 0.3344 x4



[17]
First-principles (PBE) data for crystalline Nd2Ho4Er5 at its relaxed geometry, as listed in Alexandria.

Properties
The formation energy from the elements is 0.24 eV/f.u. The energy relative to the lowest polymorph listed for this composition is 0.0 meV/atom. The value obtained for the magnetic moment is 0.0000 μB per atom.

Cell lengths 3.5441, 8.6796, 11.7474 Å; angles 75.77, 81.36, 89.96 degrees
Space group P-1 (No. 2)
Unique sites:
Nd: 0.0918 0.2286 0.3172 x2
Ho: 0.1821 0.9537 0.1355 x2
Ho: 0.4532 0.1391 0.5931 x2
Er: 0.0000 0.5000 0.5000 x1
Er: 0.2715 0.6816 0.9566 x2
Er: 0.3631 0.4073 0.7736 x2



[18]
First-principles (PBE) data for crystalline Nd4HoEr7 at its relaxed geometry, as listed in Alexandria.

Properties
The formation energy from the elements is 3.28 eV/f.u. The energy relative to the lowest polymorph listed for this composition is 184.9 meV/atom. The value obtained for the magnetic moment is 0.0000 μB per atom.

Cell lengths 12.0875, 5.8858, 12.7864 Å; angles 90.00, 118.13, 90.00 degrees
Space group C2/m (No. 12)
Unique sites:
Nd: 0.1407 0.0000 0.2774 x4
Nd: 0.2169 0.5000 0.1623 x4
Ho: 0.0000 0.5000 0.5000 x2
Er: 0.0000 0.0000 0.5000 x2
Er: 0.0710 0.5000 0.8079 x4
Er: 0.1318 0.0000 0.9931 x4
Er: 0.2117 0.5000 0.4237 x4



[19]
First-principles (PBE) data for crystalline Nd2Ho5Er6 at its relaxed geometry, as listed in Alexandria.

Properties
The formation energy from the elements is 1.32 eV/f.u. The value obtained for the magnetic moment is 0.0000 μB per atom.

Cell lengths 11.6295, 20.0947, 3.5593 Å; angles 90.00, 90.00, 90.00 degrees
Space group Pbam (No. 55)
Unique sites:
Nd: 0.1669 0.2160 0.0000 x4
Ho: 0.0000 0.5000 0.5000 x2
Ho: 0.0933 0.7781 0.5000 x4
Ho: 0.1999 0.0512 0.5000 x4
Er: 0.0592 0.9222 0.0000 x4
Er: 0.0790 0.6344 0.0000 x4
Er: 0.1786 0.3735 0.5000 x4